[1]
## HfTa5Re6 (PBE)

Data for a geometry-optimized HfTa5Re6 structure.

The energy relative to the elements comes out at -0.42 eV/atom. The density of states at the Fermi level is 0.44 states/eV/atom.

The space group is Cmmm (No. 65) and the conventional cell measures 4.548, 13.631 and 6.416 Å, with angles of 90.00, 90.00 and 90.00 degrees. The asymmetric unit holds Hf at (0.000, 0.000, 0.000), Ta at (0.000, 0.000, 0.500), Ta at (0.000, 0.333, 0.000), Ta at (0.000, 0.333, 0.500), Re at (0.000, 0.168, 0.252) and Re at (0.000, 0.500, 0.253).


[2]
## HfTaRe (PBE)

Data for a geometry-optimized HfTaRe structure.

The energy relative to the elements comes out at -0.35 eV/atom. The density of states at the Fermi level is 0.62 states/eV/atom.

The space group is Imma (No. 74) and the conventional cell measures 5.343, 5.536 and 7.566 Å, with angles of 90.00, 90.00 and 90.00 degrees. The asymmetric unit holds Hf at (0.000, 0.250, 0.122), Ta at (0.000, 0.000, 0.500) and Re at (0.250, 0.250, 0.750).


[3]
## HfTaRe (PBE)

Data for a geometry-optimized HfTaRe structure.

The energy relative to the elements comes out at -0.27 eV/atom. The density of states at the Fermi level is 1.10 states/eV/atom.

The space group is I4mm (No. 107) and the conventional cell measures 3.250, 3.250 and 10.185 Å, with angles of 90.00, 90.00 and 90.00 degrees. The asymmetric unit holds Hf at (0.000, 0.000, 0.000), Ta at (0.000, 0.000, 0.312) and Re at (0.000, 0.000, 0.667).


[4]
## HfTaRe2 (PBE)

Data for a geometry-optimized HfTaRe2 structure.

The energy relative to the elements comes out at -0.40 eV/atom. The density of states at the Fermi level is 0.59 states/eV/atom.

The space group is P4/mmm (No. 123) and the conventional cell measures 3.233, 3.233 and 6.495 Å, with angles of 90.00, 90.00 and 90.00 degrees. The asymmetric unit holds Hf at (0.000, 0.000, 0.000), Ta at (0.000, 0.000, 0.500) and Re at (0.500, 0.500, 0.258).


[5]
## HfTaRe4 (PBE)

Data for a geometry-optimized HfTaRe4 structure.

The energy relative to the elements comes out at -0.21 eV/atom. The density of states at the Fermi level is 1.17 states/eV/atom.

The space group is F-43m (No. 216) and the conventional cell measures 7.405, 7.405 and 7.405 Å, with angles of 90.00, 90.00 and 90.00 degrees. The asymmetric unit holds Hf at (0.000, 0.000, 0.000), Ta at (0.250, 0.250, 0.750) and Re at (0.125, 0.125, 0.375).


[6]
## HfTa3Re (PBE)

Data for a geometry-optimized HfTa3Re structure.

The energy relative to the elements comes out at 2.38 eV/atom. The density of states at the Fermi level is 1.08 states/eV/atom.

The space group is Pm-3m (No. 221) and the conventional cell measures 4.777, 4.777 and 4.777 Å, with angles of 90.00, 90.00 and 90.00 degrees. The asymmetric unit holds Hf at (0.000, 0.000, 0.000), Ta at (0.000, 0.000, 0.500) and Re at (0.500, 0.500, 0.500).


[7]
## HfTa2Re (PBE)

Data for a geometry-optimized HfTa2Re structure.

The energy relative to the elements comes out at 0.49 eV/atom. The density of states at the Fermi level is 0.76 states/eV/atom.

The space group is I-42d (No. 122) and the conventional cell measures 7.538, 7.538 and 5.601 Å, with angles of 90.00, 90.00 and 90.00 degrees. The asymmetric unit holds Hf at (0.000, 0.000, 0.000), Ta at (0.212, 0.250, 0.625) and Re at (0.000, 0.000, 0.500).


[8]
## HfTaRe (PBE)

Data for a geometry-optimized HfTaRe structure.

The energy relative to the elements comes out at -0.29 eV/atom. The density of states at the Fermi level is 0.61 states/eV/atom.

The space group is Amm2 (No. 38) and the conventional cell measures 8.811, 5.466 and 9.307 Å, with angles of 90.00, 90.00 and 90.00 degrees. The asymmetric unit holds Hf at (0.181, 0.000, 0.000), Hf at (0.303, 0.000, 0.666), Ta at (0.242, 0.000, 0.331), Ta at (0.500, 0.245, 0.921), Re at (0.000, 0.000, 0.506), Re at (0.000, 0.242, 0.747) and Re at (0.500, 0.000, 0.167).


[9]
## HfTaRe3 (PBE)

Data for a geometry-optimized HfTaRe3 structure.

The energy relative to the elements comes out at 1.74 eV/atom. The density of states at the Fermi level is 0.77 states/eV/atom.

The space group is Pm-3m (No. 221) and the conventional cell measures 4.723, 4.723 and 4.723 Å, with angles of 90.00, 90.00 and 90.00 degrees. The asymmetric unit holds Hf at (0.000, 0.000, 0.000), Ta at (0.500, 0.500, 0.500) and Re at (0.000, 0.500, 0.500).


[10]
## HfTa2Re3 (PBE)

Data for a geometry-optimized HfTa2Re3 structure.

The energy relative to the elements comes out at -0.42 eV/atom. The density of states at the Fermi level is 0.48 states/eV/atom.

The space group is P4/mmm (No. 123) and the conventional cell measures 3.220, 3.220 and 9.708 Å, with angles of 90.00, 90.00 and 90.00 degrees. The asymmetric unit holds Hf at (0.000, 0.000, 0.000), Ta at (0.000, 0.000, 0.334), Re at (0.500, 0.500, 0.174) and Re at (0.500, 0.500, 0.500).


[11]
## HfTa3Re (PBE)

Data for a geometry-optimized HfTa3Re structure.

The energy relative to the elements comes out at 1.12 eV/atom. The density of states at the Fermi level is 1.42 states/eV/atom.

The space group is Pm-3m (No. 221) and the conventional cell measures 4.850, 4.850 and 4.850 Å, with angles of 90.00, 90.00 and 90.00 degrees. The asymmetric unit holds Hf at (0.000, 0.000, 0.000), Ta at (0.000, 0.500, 0.500) and Re at (0.500, 0.500, 0.500).


[12]
## HfTa2Re (PBE)

Data for a geometry-optimized HfTa2Re structure.

The energy relative to the elements comes out at -0.16 eV/atom. The density of states at the Fermi level is 1.04 states/eV/atom.

The space group is P4/mmm (No. 123) and the conventional cell measures 3.212, 3.212 and 7.034 Å, with angles of 90.00, 90.00 and 90.00 degrees. The asymmetric unit holds Hf at (0.000, 0.000, 0.000), Ta at (0.500, 0.500, 0.276) and Re at (0.000, 0.000, 0.500).


[13]
## HfTaRe2 (PBE)

Data for a geometry-optimized HfTaRe2 structure.

The energy relative to the elements comes out at -0.40 eV/atom. The density of states at the Fermi level is 0.68 states/eV/atom.

The space group is Fm-3m (No. 225) and the conventional cell measures 6.470, 6.470 and 6.470 Å, with angles of 90.00, 90.00 and 90.00 degrees. The asymmetric unit holds Hf at (0.000, 0.000, 0.000), Ta at (0.000, 0.000, 0.500) and Re at (0.250, 0.250, 0.250).


[14]
## HfTa2Re (PBE)

Data for a geometry-optimized HfTa2Re structure.

The energy relative to the elements comes out at -0.06 eV/atom. The density of states at the Fermi level is 1.68 states/eV/atom.

The space group is P4/mmm (No. 123) and the conventional cell measures 4.664, 4.664 and 3.277 Å, with angles of 90.00, 90.00 and 90.00 degrees. The asymmetric unit holds Hf at (0.000, 0.000, 0.000), Ta at (0.000, 0.500, 0.500) and Re at (0.500, 0.500, 0.000).